Entry 1:
DFT (PBE) results for an optimized crystal structure of SrAsIr.

Cell: 4.6666 4.6666 4.6666 Å, 60.00 60.00 60.00°
Fractional coordinates of all 3 atoms:
Ir 0.0000 0.0000 0.0000
As 0.2500 0.2500 0.2500
Sr 0.7500 0.7500 0.7500

=====

Entry 2:
DFT (PBE) results for an optimized crystal structure of UIrAu.

Cell: 4.5785 4.5785 4.5785 Å, 60.00 60.00 60.00°
Fractional coordinates of all 3 atoms:
U 0.2500 0.2500 0.2500
Au 0.7500 0.7500 0.7500
Ir 0.0000 0.0000 0.0000

Properties
Energy relative to the elements, eV per atom: -0.06

=====

Entry 3:
DFT (PBE) results for an optimized crystal structure of TbGePd2.

Cell: 7.4006 7.1538 5.6335 Å, 90.00 90.00 90.00°
Fractional coordinates of all 16 atoms:
Pd 0.1822 0.4482 0.5877
Pd 0.6822 0.4482 0.9123
Pd 0.6822 0.0518 0.9123
Pd 0.3178 0.5518 0.0877
Pd 0.8178 0.5518 0.4123
Pd 0.3178 0.9482 0.0877
Pd 0.8178 0.9482 0.4123
Pd 0.1822 0.0518 0.5877
Tb 0.0268 0.2500 0.1440
Tb 0.9732 0.7500 0.8560
Tb 0.5268 0.2500 0.3560
Tb 0.4732 0.7500 0.6440
Ge 0.3798 0.2500 0.8571
Ge 0.8798 0.2500 0.6429
Ge 0.1202 0.7500 0.3571
Ge 0.6202 0.7500 0.1429

=====

Entry 4:
DFT (PBE) results for an optimized crystal structure of ZnSe.

Cell: 5.1234 5.1234 6.6147 Å, 90.00 90.00 94.05°
Fractional coordinates of all 8 atoms:
Zn 0.5035 0.4965 0.6316
Zn 0.4965 0.5035 0.1316
Zn 0.9968 0.0032 0.6255
Zn 0.0032 0.9968 0.1255
Se 0.8712 0.6288 0.3784
Se 0.1288 0.3712 0.8784
Se 0.6288 0.8712 0.8784
Se 0.3712 0.1288 0.3784

=====

Number 1: VASP energy -0.1883 hartree per atom. Number 2: VASP energy -0.2889 hartree per atom. Number 3: VASP energy -0.2137 hartree per atom. Number 4: VASP energy -0.0937 hartree per atom.